DFT (PBE-GGA) results for crystalline ReTeW3 at its relaxed geometry.

Summary:
**Calculated density**: 12.86 g/cm3
**ΔE_f (raw)**: 9.89 eV per formula unit

```
data_ReTeW3
_symmetry_space_group_name_H-M 'P m -3 m'
_symmetry_Int_Tables_number 221
_symmetry_space_group_name_Hall '-P 4 2 3'
_cell_length_a 4.816
_cell_length_b 4.816
_cell_length_c 4.816
_cell_angle_alpha 90.00
_cell_angle_beta 90.00
_cell_angle_gamma 90.00
loop_
_atom_site_label
_atom_site_type_symbol
_atom_site_fract_x
_atom_site_fract_y
_atom_site_fract_z
Re1 Re 0.000 0.000 0.000
Te1 Te 0.500 0.500 0.500
W1 W 0.000 0.000 0.500
```

DFT (PBE-GGA) results for crystalline ReTe2W at its relaxed geometry.

Summary:
**Calculated density**: 9.86 g/cm3
**ΔE_f (raw)**: 1.76 eV per formula unit

```
data_ReTe2W
_symmetry_space_group_name_H-M 'C 1 m 1'
_symmetry_Int_Tables_number 8
_symmetry_space_group_name_Hall 'C -2y'
_cell_length_a 8.386
_cell_length_b 3.673
_cell_length_c 7.059
_cell_angle_alpha 90.00
_cell_angle_beta 104.32
_cell_angle_gamma 90.00
loop_
_atom_site_label
_atom_site_type_symbol
_atom_site_fract_x
_atom_site_fract_y
_atom_site_fract_z
Re1 Re 0.000 0.000 0.000
Te1 Te 0.237 0.000 0.778
Te2 Te 0.472 0.000 0.304
W1 W 0.210 0.500 0.084
```

DFT (PBE-GGA) results for crystalline ReTe2W at its relaxed geometry.

Summary:
**Calculated density**: 14.19 g/cm3
**ΔE_f (raw)**: 3.19 eV per formula unit

```
data_ReTe2W
_symmetry_space_group_name_H-M 'F m -3 m'
_symmetry_Int_Tables_number 225
_symmetry_space_group_name_Hall '-F 4 2 3'
_cell_length_a 6.640
_cell_length_b 6.640
_cell_length_c 6.640
_cell_angle_alpha 90.00
_cell_angle_beta 90.00
_cell_angle_gamma 90.00
loop_
_atom_site_label
_atom_site_type_symbol
_atom_site_fract_x
_atom_site_fract_y
_atom_site_fract_z
Re1 Re 0.000 0.000 0.000
Te1 Te 0.250 0.250 0.250
W1 W 0.000 0.000 0.500
```